A geometry-optimized Ac2Tb3Pd4 structure, computed with GGA-PBE.

a = 7.735 Å, b = 7.778 Å, c = 8.299 Å
α = 90.00°, β = 108.97°, γ = 90.00°
Space group P2_1/c (No. 14)
One atom of each set of equivalent atoms:
1 Ac 0.198 0.172 0.091 [4 per cell]
2 Tb 0.247 0.660 0.250 [4 per cell]
3 Tb 0.500 0.000 0.500 [2 per cell]
4 Pd 0.096 0.544 0.877 [4 per cell]
5 Pd 0.494 0.634 0.622 [4 per cell]

Computed properties:
* energy of formation: -686 kJ/mol of formula units
* calculated density: 9541 kg/m³
* final energy: -5.554 eV/atom
* crystal system: monoclinic